(1)
The following is a DFT calculation (GGA-PBE) of a geometry-optimized SmHoTe2Se structure.

Geometry as CIF:
```
data_SmHoTe2Se
_symmetry_space_group_name_H-M 'P 1'
_symmetry_Int_Tables_number 1
_cell_length_a 4.333
_cell_length_b 4.333
_cell_length_c 15.586
_cell_angle_alpha 90.00
_cell_angle_beta 90.00
_cell_angle_gamma 90.00
loop_
_symmetry_equiv_pos_as_xyz
'x,y,z'
loop_
_atom_site_label
_atom_site_type_symbol
_atom_site_fract_x
_atom_site_fract_y
_atom_site_fract_z
_atom_site_occupancy
Sm1 Sm 0.250 0.250 0.131 1
Sm2 Sm 0.750 0.750 0.869 1
Ho1 Ho 0.250 0.250 0.590 1
Ho2 Ho 0.750 0.750 0.410 1
Te1 Te 0.250 0.250 0.391 1
Te2 Te 0.250 0.250 0.789 1
Te3 Te 0.750 0.750 0.211 1
Te4 Te 0.750 0.750 0.609 1
Se1 Se 0.250 0.750 0.000 1
Se2 Se 0.750 0.250 0.000 1
```

crystal system: tetragonal
uncorrected formation energy: -1.3953 eV per atom

(2)
The following is a DFT calculation (GGA-PBE) of a geometry-optimized Pr3Tl2Sn structure.

Geometry as CIF:
```
data_Pr3Tl2Sn
_symmetry_space_group_name_H-M 'P 1'
_symmetry_Int_Tables_number 1
_cell_length_a 5.231
_cell_length_b 15.643
_cell_length_c 4.397
_cell_angle_alpha 90.00
_cell_angle_beta 90.00
_cell_angle_gamma 90.00
loop_
_symmetry_equiv_pos_as_xyz
'x,y,z'
loop_
_atom_site_label
_atom_site_type_symbol
_atom_site_fract_x
_atom_site_fract_y
_atom_site_fract_z
_atom_site_occupancy
Pr1 Pr 0.250 0.087 0.000 1
Pr2 Pr 0.250 0.413 0.000 1
Pr3 Pr 0.250 0.750 0.001 1
Pr4 Pr 0.750 0.250 0.999 1
Pr5 Pr 0.750 0.587 0.000 1
Pr6 Pr 0.750 0.913 0.000 1
Tl1 Tl 0.250 0.579 0.500 1
Tl2 Tl 0.250 0.921 0.500 1
Tl3 Tl 0.750 0.079 0.500 1
Tl4 Tl 0.750 0.421 0.500 1
Sn1 Sn 0.250 0.250 0.500 1
Sn2 Sn 0.750 0.750 0.500 1
```

crystal system: orthorhombic
energy of formation: -0.498 eV/atom
relative energy among the computed polymorphs: 0.00 kJ/mol of atoms

(3)
The following is a DFT calculation (GGA-PBE) of a geometry-optimized Ge3BRh6 structure.

Geometry as CIF:
```
data_Ge3BRh6
_symmetry_space_group_name_H-M 'P 1'
_symmetry_Int_Tables_number 1
_cell_length_a 8.716
_cell_length_b 3.788
_cell_length_c 9.002
_cell_angle_alpha 90.00
_cell_angle_beta 106.69
_cell_angle_gamma 90.00
loop_
_symmetry_equiv_pos_as_xyz
'x,y,z'
loop_
_atom_site_label
_atom_site_type_symbol
_atom_site_fract_x
_atom_site_fract_y
_atom_site_fract_z
_atom_site_occupancy
Ge1 Ge 0.031 0.250 0.206 1
Ge2 Ge 0.300 0.250 0.005 1
Ge3 Ge 0.357 0.750 0.339 1
Ge4 Ge 0.643 0.250 0.661 1
Ge5 Ge 0.700 0.750 0.995 1
Ge6 Ge 0.969 0.750 0.794 1
B1 B 0.181 0.750 0.570 1
B2 B 0.819 0.250 0.430 1
Rh1 Rh 0.017 0.250 0.632 1
Rh2 Rh 0.134 0.750 0.078 1
Rh3 Rh 0.233 0.250 0.465 1
Rh4 Rh 0.258 0.750 0.810 1
Rh5 Rh 0.452 0.750 0.630 1
Rh6 Rh 0.481 0.750 0.126 1
Rh7 Rh 0.519 0.250 0.874 1
Rh8 Rh 0.548 0.250 0.370 1
Rh9 Rh 0.742 0.250 0.190 1
Rh10 Rh 0.767 0.750 0.535 1
Rh11 Rh 0.866 0.250 0.922 1
Rh12 Rh 0.983 0.750 0.368 1
```

crystal system: monoclinic
energy of formation: -0.389 eV/atom